Here is a relaxed structure of RbErAgI6 from Alexandria via LeMat-Bulk. Energies are from PBE.

a b c (Å): 7.626 7.631 8.089
angles (deg): 93.53 93.55 113.70
Space group P1 (No. 1)
One atom of each set of equivalent atoms:
1 Rb 0.000 0.000 0.000 x1
2 Er 0.341 0.660 0.500 x1
3 Ag 0.689 0.313 0.499 x1
4 I 0.030 0.611 0.246 x1
5 I 0.038 0.356 0.680 x1
6 I 0.389 0.970 0.755 x1
7 I 0.424 0.372 0.271 x1
8 I 0.629 0.576 0.729 x1
9 I 0.644 0.963 0.320 x1

ΔE_f (raw)   -92 kJ/mol of atoms